PBE with a Hubbard U AlCoC2F, optimized geometry; symmetry = No. 123; total energy = -24.5 eV per formula unit; offset from the most stable computed form = 0.000 eV/atom; density = 3.7 g/cm³; size of the total moment = 2.3 μB/cell
1.0
-0.9471 3.1905 -2.1908
-3.3050 0.0921 1.5630
1.4187 2.3846 2.8595
C Co Al F
2 1 1 1
direct
0.0000 0.0000 0.5000 C
0.5000 0.0000 0.0000 C
0.5000 0.5000 0.5000 Co
0.0000 0.0000 0.0000 Al
0.0000 0.5000 0.0000 F


PBE with a Hubbard U AlCoC2F, optimized geometry; symmetry = No. 123; total energy = -18.6 eV per formula unit; offset from the most stable computed form = 1.169 eV/atom; density = 3.8 g/cm³; size of the total moment = 0.0 μB/cell
1.0
3.9792 0.0000 0.0000
0.0000 3.5192 0.0000
0.0000 0.0000 3.9792
C Co Al F
2 1 1 1
direct
0.0000 0.0000 0.5000 C
0.5000 0.0000 0.0000 C
0.0000 0.5000 0.0000 Co
0.5000 0.5000 0.5000 Al
0.0000 0.0000 0.0000 F